(1)
First-principles (PBE) data for a relaxed structure of Li2HoThSe4, as listed in Alexandria via LeMat-Bulk.

The structure in POSCAR format:
```
Li2HoThSe4
1.0
6.986 0.000 0.000
0.000 4.057 0.000
-2.357 0.000 6.667
Li Ho Th Se
2 1 1 4
Direct
0.000 0.000 0.000
0.000 0.500 0.500
0.500 0.000 0.500
0.500 0.500 0.000
0.234 0.000 0.737
0.242 0.500 0.253
0.758 0.500 0.747
0.766 0.000 0.263
```

Formation energy without anion corrections = -1574 meV/atom
Raw total energy = -5.29 eV/atom

=====

(2)
First-principles (PBE) data for a relaxed structure of Li4HoTh3Se8, as listed in Alexandria via LeMat-Bulk.

The structure in POSCAR format:
```
Li4HoTh3Se8
1.0
4.069 2.349 6.674
-4.069 2.349 6.674
0.000 -4.698 6.674
Li Ho Th Se
4 1 3 8
Direct
0.000 0.000 0.000
0.000 0.500 0.500
0.500 0.000 0.500
0.500 0.500 0.000
0.500 0.500 0.500
0.000 0.000 0.500
0.000 0.500 0.000
0.500 0.000 0.000
0.249 0.249 0.738
0.249 0.738 0.249
0.258 0.258 0.258
0.262 0.751 0.751
0.738 0.249 0.249
0.742 0.742 0.742
0.751 0.262 0.751
0.751 0.751 0.262
```

Formation energy without anion corrections = -1522 meV/atom
Raw total energy = -5.42 eV/atom

=====

(3)
First-principles (PBE) data for a relaxed structure of LiHoThSe3, as listed in Alexandria via LeMat-Bulk.

The structure in POSCAR format:
```
LiHoThSe3
1.0
8.492 0.000 0.000
0.000 3.947 0.000
-2.082 0.000 8.545
Li Ho Th Se
2 2 2 6
Direct
0.089 0.250 0.086
0.911 0.750 0.914
0.338 0.750 0.355
0.662 0.250 0.645
0.196 0.250 0.719
0.804 0.750 0.281
0.091 0.250 0.369
0.221 0.750 0.996
0.447 0.750 0.694
0.553 0.250 0.306
0.779 0.250 0.004
0.909 0.750 0.631
```

Formation energy without anion corrections = -1531 meV/atom
Raw total energy = -5.59 eV/atom

=====

These records have V values of 23.6 23.9 23.9 A^3/atom, in the order they appear.
These records have total magnetic moment values of 0.000 0.000 0.000 μB per atom, in the order they appear.